(1)
Zr2TlAs2 | Alexandria | GGA-PBE | optimized geometry; DFT formation energy = -0.608 eV/atom; offset from the most stable computed form = 0.00 eV per formula unit
1.0
7.716 0.000 0.000
0.000 7.716 0.000
0.000 0.000 3.573
Zr Tl As
4 2 4
Direct
0.146 0.354 0.000 Zr
0.354 0.854 0.000 Zr
0.646 0.146 0.000 Zr
0.854 0.646 0.000 Zr
0.000 0.000 0.000 Tl
0.500 0.500 0.000 Tl
0.146 0.646 0.500 As
0.354 0.146 0.500 As
0.646 0.854 0.500 As
0.854 0.354 0.500 As

---

(2)
Rb3TbNp2Se6 | Alexandria | GGA-PBE | optimized geometry; raw formation energy = -16.75 eV/f.u.
1.0
3.717 -6.439 0.000
3.717 6.439 0.000
-2.478 0.000 7.996
Rb Tb Np Se
3 1 2 6
Direct
0.000 0.000 0.000 Rb
0.334 0.666 0.000 Rb
0.666 0.334 0.000 Rb
0.500 0.500 0.500 Tb
0.167 0.833 0.500 Np
0.833 0.167 0.500 Np
0.103 0.435 0.304 Se
0.233 0.233 0.696 Se
0.435 0.103 0.304 Se
0.565 0.897 0.696 Se
0.767 0.767 0.304 Se
0.897 0.565 0.696 Se

---

(3)
Cr2Os | Alexandria | GGA-PBE | optimized geometry; DFT formation energy = 0.183 eV/atom
1.0
4.690 -1.372 0.000
4.690 1.372 0.000
-2.199 0.000 5.989
Cr Os
4 2
Direct
0.012 0.012 0.293 Cr
0.370 0.370 0.979 Cr
0.630 0.630 0.021 Cr
0.988 0.988 0.707 Cr
0.301 0.301 0.362 Os
0.699 0.699 0.638 Os

---

Computed raw total energy, in the same sequence as the records: -0.467 -0.435 -0.733 Ry/atom.